No. 1
A geometry-optimized TiBe2Co3 structure, computed with PBE-GGA.

Cell lengths 3.870, 3.870, 9.449 Å; angles 90.00, 90.00, 120.00 degrees
Atoms (fractional coordinates):
Ti 0.333 0.667 0.174
Ti 0.667 0.333 0.826
Be 0.000 0.000 0.000
Be 0.000 0.000 0.500
Be 0.333 0.667 0.662
Be 0.667 0.333 0.338
Co 0.000 0.000 0.265
Co 0.000 0.000 0.735
Co 0.333 0.667 0.427
Co 0.333 0.667 0.916
Co 0.667 0.333 0.084
Co 0.667 0.333 0.573

## Properties
- energy of formation from the pure elements (eV/atom) = -0.36
- offset from the most stable computed form (meV per atom) = 0

***

No. 2
A geometry-optimized Pa4As5Pd structure, computed with PBE-GGA.

Cell lengths 15.846, 15.846, 15.846 Å; angles 14.92, 14.92, 14.92 degrees
Atoms (fractional coordinates):
Pa 0.107 0.107 0.107
Pa 0.298 0.298 0.298
Pa 0.702 0.702 0.702
Pa 0.893 0.893 0.893
As 0.000 0.000 0.000
As 0.194 0.194 0.194
As 0.405 0.405 0.405
As 0.595 0.595 0.595
As 0.806 0.806 0.806
Pd 0.500 0.500 0.500

## Properties
- energy of formation from the pure elements (eV/atom) = -0.87

***

No. 3
A geometry-optimized LaNiMo2 structure, computed with PBE-GGA.

Cell lengths 4.574, 4.574, 4.574 Å; angles 60.00, 60.00, 60.00 degrees
Atoms (fractional coordinates):
La 0.000 0.000 0.000
Ni 0.500 0.500 0.500
Mo 0.250 0.250 0.250
Mo 0.750 0.750 0.750

## Properties
- energy of formation from the pure elements (eV/atom) = 0.68
- offset from the most stable computed form (meV per atom) = 459

***

No. 4
A geometry-optimized NbZnSe2N structure, computed with PBE-GGA.

Cell lengths 4.993, 4.993, 3.577 Å; angles 90.00, 90.00, 90.00 degrees
Atoms (fractional coordinates):
Nb 0.000 0.000 0.000
Zn 0.500 0.500 0.500
Se 0.000 0.500 0.500
Se 0.500 0.000 0.500
N 0.500 0.500 0.000

## Properties
- offset from the most stable computed form (meV per atom) = 812
- formation energy from raw total energies (eV per formula unit) = 4.39

***

No. 5
A geometry-optimized TbYGaNi structure, computed with PBE-GGA.

Cell lengths 4.333, 5.797, 5.797 Å; angles 37.59, 90.00, 90.00 degrees
Atoms (fractional coordinates):
Tb 0.000 0.000 0.000
Y 0.500 0.718 0.718
Ga 0.000 0.287 0.287
Ni 0.500 0.425 0.425

## Properties
- energy of formation from the pure elements (eV/atom) = -0.50
- offset from the most stable computed form (meV per atom) = 0

***

No. 6
A geometry-optimized ZnSi2Rh structure, computed with PBE-GGA.

Cell lengths 4.919, 4.919, 4.919 Å; angles 143.50, 125.32, 67.54 degrees
Atoms (fractional coordinates):
Zn 0.000 0.000 0.000
Si 0.506 0.506 0.000
Si 0.746 0.246 0.500
Rh 0.273 0.773 0.500

## Properties
- formation energy from raw total energies (eV per formula unit) = -0.18

***

E_tot across the listed records, respectively: -38.8 -75.1 -29.7 -22.2 -21.9 -19.7 eV per formula unit.
N(E_F) across the listed records, respectively: 0.749 1.367 2.156 0.874 0.865 0.346 states/eV/atom.